Below is a relaxed structure of CoAg3, with properties calculated at the GGA-PBE level.

abc: 5.130 5.130 5.130
angles: 90.00 90.00 90.00
Space group Pm-3n (No. 223)
Symmetry-distinct sites (fractional):
Co: 0.000 0.000 0.000 [2 per cell]
Ag: 0.000 0.250 0.500 [6 per cell]

For the electronic total energy, the calculation gives -27.5 eV/cell.

***

Below is a relaxed structure of SrO, with properties calculated at the GGA-PBE level.

abc: 6.895 6.895 6.895
angles: 90.00 90.00 90.00
Space group Pm-3n (No. 223)
Symmetry-distinct sites (fractional):
Sr: 0.000 0.250 0.500 [6 per cell]
O: 0.000 0.500 0.250 [6 per cell]

The value obtained for the formation energy without anion corrections is -494 kJ/mol of formula units.

***

Below is a relaxed structure of YBe2Co, with properties calculated at the GGA-PBE level.

abc: 3.770 4.365 6.734
angles: 90.00 90.00 90.00
Space group Immm (No. 71)
Symmetry-distinct sites (fractional):
Y: 0.000 0.000 0.000 [2 per cell]
Be: 0.000 0.500 0.221 [4 per cell]
Co: 0.000 0.000 0.500 [2 per cell]

The polymorph energy (0 for the lowest one) is 1.37 eV/f.u.

***

Below is a relaxed structure of BeIrPt, with properties calculated at the GGA-PBE level.

abc: 2.7181 2.7181 6.1496
angles: 90.00 90.00 120.00
Space group P3m1 (No. 156)
Symmetry-distinct sites (fractional):
Be: 0.0000 0.0000 0.0000 [1 per cell]
Ir: 0.6667 0.3333 0.2916 [1 per cell]
Pt: 0.3333 0.6667 0.6990 [1 per cell]

The polymorph energy (0 for the lowest one) is 0.23 eV/f.u.

***

Below is a relaxed structure of Pm2Fe2Si2C, with properties calculated at the GGA-PBE level.

abc: 10.757 3.988 6.924
angles: 90.00 129.04 90.00
Space group C2/m (No. 12)
Symmetry-distinct sites (fractional):
Pm: 0.059 0.000 0.297 [4 per cell]
Fe: 0.197 0.500 0.090 [4 per cell]
Si: 0.172 0.500 0.733 [4 per cell]
C: 0.000 0.500 0.000 [2 per cell]

The value obtained for the formation energy without anion corrections is -424 kJ/mol of formula units.

***

Below is a relaxed structure of LiMnCo2, with properties calculated at the GGA-PBE level.

abc: 2.483 3.393 5.101
angles: 90.00 90.00 90.00
Space group Pmmm (No. 47)
Symmetry-distinct sites (fractional):
Li: 0.000 0.000 0.000 [1 per cell]
Mn: 0.000 0.000 0.500 [1 per cell]
Co: 0.500 0.500 0.255 [2 per cell]

The polymorph energy (0 for the lowest one) is 0.35 eV/f.u.

***

Number 1: DOS at the Fermi energy 1.53 states/eV per atom, total moment 3.48 μB per cell. Number 2: DOS at the Fermi energy 0.00 states/eV per atom, total moment 0.00 μB per cell. Number 3: DOS at the Fermi energy 0.74 states/eV per atom, total moment 0.00 μB per cell. Number 4: DOS at the Fermi energy 1.06 states/eV per atom, total moment 0.00 μB per cell. Number 5: DOS at the Fermi energy 0.44 states/eV per atom, total moment 0.00 μB per cell. Number 6: DOS at the Fermi energy 1.22 states/eV per atom, total moment 0.75 μB per cell.